Here is HoThTePb after structural relaxation from Alexandria. Energies are from PBE-GGA.

The structure belongs to space group F-43m (No. 216); the cell edges are 7.707, 7.707 and 7.707 Å and the angles 90.00°, 90.00° and 90.00°. The distinct sites, in fractional coordinates, are Ho at (0.000, 0.000, 0.000), Th at (0.000, 0.000, 0.500), Te at (0.250, 0.250, 0.750) and Pb at (0.250, 0.250, 0.250).

The value obtained for the total energy is -5.3517 eV per atom. As for the density of states at the Fermi level: 3.37 states/eV/f.u. For the uncorrected formation energy, the calculation gives -0.64 eV per atom. For the magnetization, the calculation gives 0.00 μB/f.u.

=====

Here is VFeAg2Se after structural relaxation from Alexandria. Energies are from PBE-GGA.

The structure belongs to space group P4/mmm (No. 123); the cell edges are 4.904, 4.904 and 4.047 Å and the angles 90.00°, 90.00° and 90.00°. The distinct sites, in fractional coordinates, are V at (0.000, 0.000, 0.000), Fe at (0.000, 0.000, 0.500), Ag at (0.000, 0.500, 0.500) and Se at (0.500, 0.500, 0.000).

The value obtained for the total energy is -4.4030 eV per atom. As for the density of states at the Fermi level: 5.34 states/eV/f.u. For the uncorrected formation energy, the calculation gives 0.95 eV per atom. For the magnetization, the calculation gives 0.01 μB/f.u.

=====

Here is Ge2HN after structural relaxation from Alexandria. Energies are from PBE-GGA.

The structure belongs to space group Fm-3m (No. 225); the cell edges are 5.751, 5.751 and 5.751 Å and the angles 90.00°, 90.00° and 90.00°. The distinct sites, in fractional coordinates, are Ge at (0.250, 0.250, 0.250), H at (0.000, 0.000, 0.000) and N at (0.000, 0.000, 0.500).

The value obtained for the total energy is -4.2148 eV per atom. As for the density of states at the Fermi level: 0.61 states/eV/f.u. For the magnetization, the calculation gives 0.00 μB/f.u.